1 | This record from Alexandria via LeMat-Bulk describes a geometry-optimized NaMg3Pb structure. The functional is GGA-PBE.

```
data_NaMg3Pb
_cell_length_a 5.318
_cell_length_b 5.318
_cell_length_c 5.318
_cell_angle_alpha 90.00
_cell_angle_beta 90.00
_cell_angle_gamma 90.00
_symmetry_space_group_name_H-M 'P m -3 m'
_symmetry_Int_Tables_number 221
_symmetry_space_group_name_Hall '-P 4 2 3'
loop_
_atom_site_label
_atom_site_type_symbol
_atom_site_fract_x
_atom_site_fract_y
_atom_site_fract_z
Na1 Na 0.000 0.000 0.000
Mg1 Mg 0.000 0.000 0.500
Pb1 Pb 0.500 0.500 0.500
```

2 | This record from Alexandria via LeMat-Bulk describes a geometry-optimized NaMg3Pb structure. The functional is GGA-PBE.

```
data_NaMg3Pb
_cell_length_a 5.613
_cell_length_b 5.613
_cell_length_c 5.613
_cell_angle_alpha 90.00
_cell_angle_beta 90.00
_cell_angle_gamma 90.00
_symmetry_space_group_name_H-M 'P m -3 m'
_symmetry_Int_Tables_number 221
_symmetry_space_group_name_Hall '-P 4 2 3'
loop_
_atom_site_label
_atom_site_type_symbol
_atom_site_fract_x
_atom_site_fract_y
_atom_site_fract_z
Na1 Na 0.000 0.000 0.000
Mg1 Mg 0.000 0.500 0.500
Pb1 Pb 0.500 0.500 0.500
```

The computed energies, referenced to the most stable structure and given in kJ/mol of atoms, are 1 26.2; 2 0.0.

1 | This record from Alexandria via LeMat-Bulk describes a geometry-optimized Na8MgPb2 structure. The functional is GGA-PBE.

```
data_Na8MgPb2
_cell_length_a 9.296
_cell_length_b 14.415
_cell_length_c 5.999
_cell_angle_alpha 90.00
_cell_angle_beta 111.19
_cell_angle_gamma 90.00
_symmetry_space_group_name_H-M 'C 1 2/m 1'
_symmetry_Int_Tables_number 12
loop_
_symmetry_equiv_pos_as_xyz
'x,y,z'
'-x,-y,-z'
'-x,y,-z'
'x,-y,z'
'x+1/2,y+1/2,z'
'-x+1/2,-y+1/2,-z'
'-x+1/2,y+1/2,-z'
'x+1/2,-y+1/2,z'
loop_
_atom_site_label
_atom_site_type_symbol
_atom_site_fract_x
_atom_site_fract_y
_atom_site_fract_z
Na1 Na 0.000 0.237 0.000
Na2 Na 0.111 0.500 0.806
Na3 Na 0.198 0.124 0.603
Mg1 Mg 0.000 0.000 0.000
Pb1 Pb 0.000 0.313 0.500
```

2 | This record from Alexandria via LeMat-Bulk describes a geometry-optimized Na8MgPb2 structure. The functional is GGA-PBE.

```
data_Na8MgPb2
_cell_length_a 12.579
_cell_length_b 12.131
_cell_length_c 5.430
_cell_angle_alpha 90.00
_cell_angle_beta 99.32
_cell_angle_gamma 90.00
_symmetry_space_group_name_H-M 'C 1 2/m 1'
_symmetry_Int_Tables_number 12
loop_
_symmetry_equiv_pos_as_xyz
'x,y,z'
'-x,-y,-z'
'-x,y,-z'
'x,-y,z'
'x+1/2,y+1/2,z'
'-x+1/2,-y+1/2,-z'
'-x+1/2,y+1/2,-z'
'x+1/2,-y+1/2,z'
loop_
_atom_site_label
_atom_site_type_symbol
_atom_site_fract_x
_atom_site_fract_y
_atom_site_fract_z
Na1 Na 0.085 0.000 0.285
Na2 Na 0.110 0.251 0.771
Na3 Na 0.240 0.000 0.853
Mg1 Mg 0.000 0.500 0.000
Pb1 Pb 0.131 0.500 0.589
```

The computed energies, referenced to the most stable structure and given in kJ/mol of atoms, are 1 0.0; 2 3.3.

1 | This record from Alexandria via LeMat-Bulk describes a geometry-optimized Na3MgPb4 structure. The functional is GGA-PBE.

```
data_Na3MgPb4
_cell_length_a 18.641
_cell_length_b 4.977
_cell_length_c 4.979
_cell_angle_alpha 90.00
_cell_angle_beta 105.14
_cell_angle_gamma 90.00
_symmetry_space_group_name_H-M 'C 1 2/m 1'
_symmetry_Int_Tables_number 12
loop_
_symmetry_equiv_pos_as_xyz
'x,y,z'
'-x,-y,-z'
'-x,y,-z'
'x,-y,z'
'x+1/2,y+1/2,z'
'-x+1/2,-y+1/2,-z'
'-x+1/2,y+1/2,-z'
'x+1/2,-y+1/2,z'
loop_
_atom_site_label
_atom_site_type_symbol
_atom_site_fract_x
_atom_site_fract_y
_atom_site_fract_z
Na1 Na 0.000 0.000 0.000
Na2 Na 0.250 0.000 0.250
Mg1 Mg 0.000 0.500 0.500
Pb1 Pb 0.118 0.000 0.617
Pb2 Pb 0.118 0.500 0.118
```

2 | This record from Alexandria via LeMat-Bulk describes a geometry-optimized Na3MgPb4 structure. The functional is GGA-PBE.

```
data_Na3MgPb4
_cell_length_a 3.395
_cell_length_b 10.581
_cell_length_c 13.135
_cell_angle_alpha 90.00
_cell_angle_beta 90.00
_cell_angle_gamma 90.00
_symmetry_space_group_name_H-M 'I m m m'
_symmetry_Int_Tables_number 71
_symmetry_space_group_name_Hall '-I 2 2'
loop_
_atom_site_label
_atom_site_type_symbol
_atom_site_fract_x
_atom_site_fract_y
_atom_site_fract_z
Na1 Na 0.000 0.000 0.000
Na2 Na 0.000 0.500 0.231
Mg1 Mg 0.000 0.000 0.500
Pb1 Pb 0.000 0.249 0.372
```

The computed energies, referenced to the most stable structure and given in kJ/mol of atoms, are 1 0.0; 2 7.3.

1 | This record from Alexandria via LeMat-Bulk describes a geometry-optimized Na2Mg3Pb2 structure. The functional is GGA-PBE.

```
data_Na2Mg3Pb2
_cell_length_a 4.911
_cell_length_b 4.994
_cell_length_c 9.030
_cell_angle_alpha 79.53
_cell_angle_beta 78.70
_cell_angle_gamma 66.26
_symmetry_space_group_name_H-M 'P -1'
_symmetry_Int_Tables_number 2
loop_
_symmetry_equiv_pos_as_xyz
'x,y,z'
'-x,-y,-z'
loop_
_atom_site_label
_atom_site_type_symbol
_atom_site_fract_x
_atom_site_fract_y
_atom_site_fract_z
Na1 Na 0.148 0.161 0.107
Mg1 Mg 0.000 0.000 0.500
Mg2 Mg 0.384 0.395 0.372
Pb1 Pb 0.239 0.227 0.722
```

2 | This record from Alexandria via LeMat-Bulk describes a geometry-optimized Na2Mg3Pb2 structure. The functional is GGA-PBE.

```
data_Na2Mg3Pb2
_cell_length_a 10.968
_cell_length_b 4.773
_cell_length_c 8.032
_cell_angle_alpha 90.00
_cell_angle_beta 111.18
_cell_angle_gamma 90.00
_symmetry_space_group_name_H-M 'C 1 2/m 1'
_symmetry_Int_Tables_number 12
loop_
_symmetry_equiv_pos_as_xyz
'x,y,z'
'-x,-y,-z'
'-x,y,-z'
'x,-y,z'
'x+1/2,y+1/2,z'
'-x+1/2,-y+1/2,-z'
'-x+1/2,y+1/2,-z'
'x+1/2,-y+1/2,z'
loop_
_atom_site_label
_atom_site_type_symbol
_atom_site_fract_x
_atom_site_fract_y
_atom_site_fract_z
Na1 Na 0.135 0.000 0.272
Mg1 Mg 0.000 0.500 0.500
Mg2 Mg 0.123 0.500 0.932
Pb1 Pb 0.157 0.000 0.708
```

The computed energies, referenced to the most stable structure and given in kJ/mol of atoms, are 1 0.0; 2 3.5.

1 | This record from Alexandria via LeMat-Bulk describes a geometry-optimized NaMg3Pb6 structure. The functional is GGA-PBE.

```
data_NaMg3Pb6
_cell_length_a 8.655
_cell_length_b 8.127
_cell_length_c 10.249
_cell_angle_alpha 90.00
_cell_angle_beta 124.64
_cell_angle_gamma 90.00
_symmetry_space_group_name_H-M 'P 1 21/c 1'
_symmetry_Int_Tables_number 14
loop_
_symmetry_equiv_pos_as_xyz
'x,y,z'
'-x,-y,-z'
'-x,y+1/2,-z+1/2'
'x,-y+1/2,z+1/2'
loop_
_atom_site_label
_atom_site_type_symbol
_atom_site_fract_x
_atom_site_fract_y
_atom_site_fract_z
Na1 Na 0.000 0.000 0.000
Mg1 Mg 0.251 0.160 0.457
Mg2 Mg 0.500 0.000 0.000
Pb1 Pb 0.120 0.093 0.679
Pb2 Pb 0.246 0.708 0.822
Pb3 Pb 0.480 0.135 0.293
```

2 | This record from Alexandria via LeMat-Bulk describes a geometry-optimized NaMg3Pb6 structure. The functional is GGA-PBE.

```
data_NaMg3Pb6
_cell_length_a 10.435
_cell_length_b 4.949
_cell_length_c 10.865
_cell_angle_alpha 90.00
_cell_angle_beta 93.64
_cell_angle_gamma 90.00
_symmetry_space_group_name_H-M 'P 1 21/m 1'
_symmetry_Int_Tables_number 11
loop_
_symmetry_equiv_pos_as_xyz
'x,y,z'
'-x,-y,-z'
'-x,y+1/2,-z'
'x,-y+1/2,z'
loop_
_atom_site_label
_atom_site_type_symbol
_atom_site_fract_x
_atom_site_fract_y
_atom_site_fract_z
Na1 Na 0.055 0.250 0.402
Mg1 Mg 0.251 0.250 0.009
Mg2 Mg 0.350 0.750 0.809
Mg3 Mg 0.450 0.250 0.603
Pb1 Pb 0.059 0.750 0.903
Pb2 Pb 0.154 0.750 0.203
Pb3 Pb 0.171 0.250 0.714
Pb4 Pb 0.274 0.750 0.516
Pb5 Pb 0.371 0.250 0.305
Pb6 Pb 0.458 0.750 0.100
```

The computed energies, referenced to the most stable structure and given in kJ/mol of atoms, are 1 6.1; 2 0.0.

1 | This record from Alexandria via LeMat-Bulk describes a geometry-optimized NaMgSnPb structure. The functional is GGA-PBE.

```
data_NaMgSnPb
_cell_length_a 3.438
_cell_length_b 3.438
_cell_length_c 8.966
_cell_angle_alpha 90.00
_cell_angle_beta 90.00
_cell_angle_gamma 90.00
_symmetry_space_group_name_H-M 'P 4 m m'
_symmetry_Int_Tables_number 99
loop_
_symmetry_equiv_pos_as_xyz
'x,y,z'
'-y,x,z'
'-x,-y,z'
'y,-x,z'
'-x,y,z'
'y,x,z'
'x,-y,z'
'-y,-x,z'
loop_
_atom_site_label
_atom_site_type_symbol
_atom_site_fract_x
_atom_site_fract_y
_atom_site_fract_z
Na1 Na 0.000 0.000 0.000
Mg1 Mg 0.000 0.000 0.482
Sn1 Sn 0.500 0.500 0.265
Pb1 Pb 0.500 0.500 0.718
```

2 | This record from Alexandria via LeMat-Bulk describes a geometry-optimized NaMgSnPb structure. The functional is GGA-PBE.

```
data_NaMgSnPb
_cell_length_a 7.467
_cell_length_b 7.467
_cell_length_c 7.467
_cell_angle_alpha 90.00
_cell_angle_beta 90.00
_cell_angle_gamma 90.00
_symmetry_space_group_name_H-M 'F -4 3 m'
_symmetry_Int_Tables_number 216
_symmetry_space_group_name_Hall 'F -4 2 3'
loop_
_atom_site_label
_atom_site_type_symbol
_atom_site_fract_x
_atom_site_fract_y
_atom_site_fract_z
Na1 Na 0.000 0.000 0.000
Mg1 Mg 0.000 0.000 0.500
Sn1 Sn 0.250 0.250 0.750
Pb1 Pb 0.250 0.250 0.250
```

The computed energies, referenced to the most stable structure and given in kJ/mol of atoms, are 1 0.0; 2 1.8.